1.
Compound: In2OsBr
Source: Alexandria
Functional: GGA-PBE
Structure: optimized geometry

Structure (POSCAR):
```
In2OsBr
1.0
3.2001 0.0000 0.0000
0.0000 3.2001 0.0000
0.0000 0.0000 8.6938
Br In Os
1 2 1
direct
0.5000 0.5000 0.6914
0.0000 0.0000 0.0129
0.5000 0.5000 0.3020
0.0000 0.0000 0.4937
```

Results
DOS at the Fermi energy: 4.7 states/eV per cell
symmetry: No. 99
V: 22.3 A^3/atom
excess energy over the best structure of this formula in the dataset: 2.091 eV/f.u.
mass density: 9.3 g/cm³

2.
Compound: In2OsBr
Source: Alexandria
Functional: GGA-PBE
Structure: optimized geometry

Structure (POSCAR):
```
In2OsBr
1.0
5.2699 0.0152 0.0000
1.6007 5.0209 0.0000
-3.4353 -2.5181 3.1032
In Os Br
2 1 1
direct
0.0000 0.0000 0.0000
0.5000 0.5000 0.0000
0.2500 0.7500 0.5000
0.7500 0.2500 0.5000
```

Results
DOS at the Fermi energy: 2.9 states/eV per cell
symmetry: No. 139
V: 20.5 A^3/atom
excess energy over the best structure of this formula in the dataset: 2.747 eV/f.u.
mass density: 10.1 g/cm³

3.
Compound: In2OsBr
Source: Alexandria
Functional: GGA-PBE
Structure: optimized geometry

Structure (POSCAR):
```
In2OsBr
1.0
4.8997 0.0000 0.0000
2.4498 4.2433 0.0000
2.4498 1.4144 4.0006
In Os Br
2 1 1
direct
0.0000 0.0000 0.0000
0.2500 0.2500 0.2500
0.7500 0.7500 0.7500
0.5000 0.5000 0.5000
```

Results
DOS at the Fermi energy: 2.4 states/eV per cell
symmetry: No. 216
V: 20.8 A^3/atom
excess energy over the best structure of this formula in the dataset: 3.103 eV/f.u.
mass density: 10.0 g/cm³

4.
Compound: In2OsBr
Source: Alexandria
Functional: GGA-PBE
Structure: optimized geometry

Structure (POSCAR):
```
In2OsBr
1.0
8.5148 0.0015 -0.0001
6.9596 4.9057 0.0001
-7.6020 -2.8797 2.5333
In Br Os
2 1 1
direct
0.9945 0.9945 0.0000
0.6769 0.1769 0.5000
0.2829 0.7829 0.5000
0.5457 0.5457 0.0000
```

Results
DOS at the Fermi energy: 2.4 states/eV per cell
symmetry: No. 44
V: 26.4 A^3/atom
excess energy over the best structure of this formula in the dataset: 0.869 eV/f.u.
mass density: 7.8 g/cm³

5.
Compound: In2OsBr
Source: Alexandria
Functional: GGA-PBE
Structure: optimized geometry

Structure (POSCAR):
```
In2OsBr
1.0
-0.4508 -5.1574 -1.1934
0.0634 -2.7627 4.5375
-2.9087 4.1889 -1.4894
In Br Os
2 1 1
direct
0.2500 0.7500 0.5000
0.0000 0.0000 0.0000
0.7500 0.2500 0.5000
0.5000 0.5000 0.0000
```

Results
DOS at the Fermi energy: 2.2 states/eV per cell
symmetry: No. 119
V: 20.9 A^3/atom
excess energy over the best structure of this formula in the dataset: 3.047 eV/f.u.
mass density: 9.9 g/cm³

6.
Compound: In2OsBr
Source: Alexandria
Functional: GGA-PBE
Structure: optimized geometry

Structure (POSCAR):
```
In2OsBr
1.0
-3.0052 6.4036 0.3822
-4.9008 4.8955 -1.4836
-3.2238 -0.0402 3.3076
In Os Br
2 1 1
direct
0.0680 0.0680 0.9323
0.4320 0.4320 0.5677
0.7500 0.7500 0.7500
0.2500 0.2500 0.2500
```

Results
DOS at the Fermi energy: 3.7 states/eV per cell
symmetry: No. 71
V: 23.0 A^3/atom
excess energy over the best structure of this formula in the dataset: 1.854 eV/f.u.
mass density: 9.0 g/cm³

7.
Compound: In2OsBr
Source: Alexandria
Functional: GGA-PBE
Structure: optimized geometry

Structure (POSCAR):
```
In2OsBr
1.0
-3.2148 -0.4665 0.1638
2.1400 -1.5911 1.8624
-0.7152 7.4533 7.1894
Br Os In
1 1 2
direct
0.5000 0.5000 0.6962
0.0000 0.0000 0.5060
0.0000 0.0000 0.0130
0.5000 0.5000 0.2849
```

Results
DOS at the Fermi energy: 2.7 states/eV per cell
symmetry: No. 35
V: 22.9 A^3/atom
excess energy over the best structure of this formula in the dataset: 2.002 eV/f.u.
mass density: 9.1 g/cm³

8.
Compound: In2OsBr
Source: Alexandria
Functional: GGA-PBE
Structure: optimized geometry

Structure (POSCAR):
```
In2OsBr
1.0
5.2269 0.0000 0.0000
0.0000 3.0449 0.0052
0.0000 -0.0123 5.2284
In Br Os
2 1 1
direct
0.0000 0.1248 0.8748
0.5000 0.1248 0.3752
0.5000 0.6201 0.8752
0.0000 0.6302 0.3748
```

Results
DOS at the Fermi energy: 2.4 states/eV per cell
symmetry: No. 99
V: 20.8 A^3/atom
excess energy over the best structure of this formula in the dataset: 1.491 eV/f.u.
mass density: 10.0 g/cm³

9.
Compound: In2OsBr
Source: Alexandria
Functional: GGA-PBE
Structure: optimized geometry

Structure (POSCAR):
```
In2OsBr
1.0
0.0000 3.5284 3.5284
3.5284 0.0000 3.5284
3.5284 3.5284 0.0000
In Br Os
2 1 1
direct
0.2500 0.2500 0.2500
0.7500 0.7500 0.7500
0.0000 0.0000 0.0000
0.5000 0.5000 0.5000
```

Results
DOS at the Fermi energy: 4.2 states/eV per cell
symmetry: No. 225
V: 22.0 A^3/atom
excess energy over the best structure of this formula in the dataset: 3.037 eV/f.u.
mass density: 9.4 g/cm³

10.
Compound: In4OsBr
Source: Alexandria
Functional: GGA-PBE
Structure: optimized geometry

Structure (POSCAR):
```
In4OsBr
1.0
0.0000 4.2291 4.2291
4.2291 0.0000 4.2291
4.2291 4.2291 0.0000
In Br Os
4 1 1
direct
0.3755 0.8736 0.3755
0.3755 0.3755 0.8736
0.8736 0.3755 0.3755
0.3755 0.3755 0.3755
0.0000 0.0000 0.0000
0.7500 0.7500 0.7500
```

Results
DOS at the Fermi energy: 3.9 states/eV per cell
symmetry: No. 216
V: 25.2 A^3/atom
mass density: 8.0 g/cm³

11.
Compound: In2OsBr
Source: Alexandria
Functional: GGA-PBE
Structure: optimized geometry

Structure (POSCAR):
```
In2OsBr
1.0
10.2255 -0.0016 -0.0009
9.7187 3.1790 -0.0009
9.7187 1.5484 2.7765
In Os Br
2 1 1
direct
0.9925 0.9925 0.9925
0.2366 0.2366 0.2366
0.4998 0.4998 0.4998
0.7711 0.7711 0.7711
```

Results
DOS at the Fermi energy: 3.4 states/eV per cell
symmetry: No. 160
V: 22.6 A^3/atom
excess energy over the best structure of this formula in the dataset: 1.880 eV/f.u.
mass density: 9.2 g/cm³

12.
Compound: In2OsBr
Source: Alexandria
Functional: GGA-PBE
Structure: optimized geometry

Structure (POSCAR):
```
In2OsBr
1.0
-0.0550 -3.2891 0.2093
0.3666 0.2046 3.3104
-8.0434 0.1904 0.8772
In Os Br
2 1 1
direct
0.0000 0.7500 0.0569
0.0000 0.7500 0.4431
0.5000 0.2500 0.2500
0.5000 0.7500 0.7500
```

Results
DOS at the Fermi energy: 1.7 states/eV per cell
symmetry: No. 47
V: 22.3 A^3/atom
excess energy over the best structure of this formula in the dataset: 0.203 eV/f.u.
mass density: 9.3 g/cm³

| no. | total energy (eV per atom) | formation energy from raw total energies (meV/atom) |
| --- | --- | --- |
| 1 | -3.95 | 644 |
| 2 | -3.79 | 808 |
| 3 | -3.70 | 897 |
| 4 | -4.26 | 338 |
| 5 | -3.71 | 882 |
| 6 | -4.01 | 584 |
| 7 | -3.97 | 621 |
| 8 | -4.10 | 494 |
| 9 | -3.71 | 880 |
| 10 | -3.15 | 823 |
| 11 | -4.00 | 591 |
| 12 | -4.42 | 172 |